No. 1
First-principles (PBE) data for an optimized crystal structure of Tc2PCl, as listed in Alexandria.

a = 5.364 Å, b = 5.364 Å, c = 6.398 Å
α = 65.22°, β = 65.22°, γ = 90.00°
Atoms (fractional coordinates):
Tc  0.133  0.625  0.250
P  0.250  0.750  0.500
Cl  0.750  0.250  0.500
Cl  0.000  0.000  0.000
P  0.500  0.500  0.000
Tc  0.875  0.867  0.750
Tc  0.617  0.125  0.250
Tc  0.375  0.383  0.750

Values from the calculation:
Magnetic moment, μB/f.u.: 0.0
Offset from the most stable computed form, meV per atom: 455
Calculated total energy, eV/atom: -6.61

No. 2
First-principles (PBE) data for an optimized crystal structure of TcP3Cl, as listed in Alexandria.

a = 4.351 Å, b = 4.351 Å, c = 4.351 Å
α = 90.00°, β = 90.00°, γ = 90.00°
Atoms (fractional coordinates):
P  0.000  0.500  0.000
Tc  0.500  0.500  0.500
P  0.000  0.000  0.500
P  0.500  0.000  0.000
Cl  0.000  0.000  0.000

Values from the calculation:
Magnetic moment, μB/f.u.: 0.0
Offset from the most stable computed form, meV per atom: 1178
Calculated total energy, eV/atom: -4.08

No. 3
First-principles (PBE) data for an optimized crystal structure of TcP2Cl, as listed in Alexandria.

a = 6.000 Å, b = 6.000 Å, c = 6.710 Å
α = 63.44°, β = 63.44°, γ = 90.00°
Atoms (fractional coordinates):
Tc  0.000  0.000  0.000
P  0.875  0.957  0.750
Tc  0.750  0.250  0.500
P  0.043  0.625  0.250
Cl  0.500  0.500  0.000
Cl  0.250  0.750  0.500
P  0.375  0.293  0.750
P  0.707  0.125  0.250

Values from the calculation:
Magnetic moment, μB/f.u.: 0.0
Offset from the most stable computed form, meV per atom: 367
Calculated total energy, eV/atom: -5.55

No. 4
First-principles (PBE) data for an optimized crystal structure of TcPCl, as listed in Alexandria.

a = 3.546 Å, b = 3.546 Å, c = 6.045 Å
α = 90.00°, β = 90.00°, γ = 120.00°
Atoms (fractional coordinates):
P  0.333  0.667  0.462
Cl  0.000  0.000  0.914
Tc  0.667  0.333  0.624

Values from the calculation:
Magnetic moment, μB/f.u.: 1.0
Offset from the most stable computed form, meV per atom: 0
Calculated total energy, eV/atom: -6.00

No. 5
First-principles (PBE) data for an optimized crystal structure of TcP2Cl, as listed in Alexandria.

a = 3.773 Å, b = 3.709 Å, c = 5.977 Å
α = 86.88°, β = 90.00°, γ = 90.00°
Atoms (fractional coordinates):
P  0.500  0.345  0.239
Cl  0.500  0.616  0.700
Tc  0.000  0.523  0.411
P  0.000  0.016  0.150

Values from the calculation:
Magnetic moment, μB/f.u.: 0.0
Offset from the most stable computed form, meV per atom: 148
Calculated total energy, eV/atom: -5.77

No. 6
First-principles (PBE) data for an optimized crystal structure of TcPCl2, as listed in Alexandria.

a = 4.222 Å, b = 4.235 Å, c = 4.235 Å
α = 90.00°, β = 90.00°, γ = 90.00°
Atoms (fractional coordinates):
Cl  0.000  0.500  0.500
P  0.500  0.500  0.000
Tc  0.500  0.000  0.500
Cl  0.000  0.000  0.000

Values from the calculation:
Magnetic moment, μB/f.u.: 3.7
Offset from the most stable computed form, meV per atom: 1432
Calculated total energy, eV/atom: -3.88

No. 7
First-principles (PBE) data for an optimized crystal structure of TcPCl, as listed in Alexandria.

a = 4.153 Å, b = 4.153 Å, c = 4.153 Å
α = 60.00°, β = 60.00°, γ = 60.00°
Atoms (fractional coordinates):
Tc  0.750  0.750  0.750
P  0.500  0.500  0.500
Cl  0.000  0.000  0.000

Values from the calculation:
Magnetic moment, μB/f.u.: 0.8
Offset from the most stable computed form, meV per atom: 342
Calculated total energy, eV/atom: -5.66

No. 8
First-principles (PBE) data for an optimized crystal structure of TcPCl2, as listed in Alexandria.

a = 8.817 Å, b = 8.817 Å, c = 6.632 Å
α = 48.34°, β = 48.34°, γ = 90.00°
Atoms (fractional coordinates):
Tc  0.750  0.250  0.500
P  0.250  0.750  0.500
Tc  0.000  0.000  0.000
Cl  0.767  0.125  0.250
P  0.500  0.500  0.000
Cl  0.875  0.017  0.750
Cl  0.983  0.625  0.250
Cl  0.375  0.233  0.750

Values from the calculation:
Magnetic moment, μB/f.u.: 0.0
Offset from the most stable computed form, meV per atom: 423
Calculated total energy, eV/atom: -4.89

Number 1: raw formation energy 1.53 eV/f.u.. Number 2: raw formation energy 8.03 eV/f.u.. Number 3: raw formation energy 0.82 eV/f.u.. Number 4: raw formation energy -0.37 eV/f.u.. Number 5: raw formation energy -0.05 eV/f.u.. Number 6: raw formation energy 3.95 eV/f.u.. Number 7: raw formation energy 0.65 eV/f.u.. Number 8: raw formation energy -0.09 eV/f.u..